VASP calculation (PBE+U) on an optimized crystal structure of AlCoO3.

The value obtained for the mass density is 4.64 g/cm³. The total energy is -0.476 Ry/atom. The calculation puts the magnetic moment at 3.39 μB per cell.

It has space group P6_3/mmc (No. 194), with a = 3.1251 Å, b = 3.1251 Å, c = 11.3353 Å, α = 90.00°, β = 90.00° and γ = 120.00°. The distinct sites, in fractional coordinates, are Al at (0.0000, 0.0000, 0.0000), Co at (0.3333, 0.6667, 0.2500), O at (0.0000, 0.0000, 0.2500) and O at (0.3333, 0.6667, 0.0787).